# 1
# CaAc2As4Rh3 (PBE-GGA, relaxed)
data_CaAc2As4Rh3
_space_group_name_H-M_alt 'P -4 m 2'
_space_group_IT_number 115
_cell_length_a 4.442
_cell_length_b 4.442
_cell_length_c 10.966
_cell_angle_alpha 90.00
_cell_angle_beta 90.00
_cell_angle_gamma 90.00
loop_
_space_group_symop_operation_xyz
'x,y,z'
'y,-x,-z'
'-x,-y,z'
'-y,x,-z'
'-x,y,z'
'-y,-x,-z'
'x,-y,z'
'y,x,-z'
loop_
_atom_site_label
_atom_site_fract_x
_atom_site_fract_y
_atom_site_fract_z
Ca1 0.000 0.000 0.000
Ac1 0.000 0.500 0.728
As1 0.000 0.000 0.500
As2 0.000 0.500 0.160
As3 0.500 0.500 0.500
Rh1 0.000 0.500 0.393
Rh2 0.500 0.500 0.000
# **Electronic total energy**: -60.20 eV/f.u.
# **DOS at the Fermi energy**: 3.80 states/eV/cell
# **Crystal system**: tetragonal
# **Energy relative to the elements**: -9.33 eV per formula unit
# **Mass density**: 8.5 g cm⁻³
# **V**: 216 Å³/cell

***

# 2
# CaAc2As3Rh4 (PBE-GGA, relaxed)
data_CaAc2As3Rh4
_space_group_name_H-M_alt 'P -4 m 2'
_space_group_IT_number 115
_cell_length_a 4.214
_cell_length_b 4.214
_cell_length_c 11.706
_cell_angle_alpha 90.00
_cell_angle_beta 90.00
_cell_angle_gamma 90.00
loop_
_space_group_symop_operation_xyz
'x,y,z'
'y,-x,-z'
'-x,-y,z'
'-y,x,-z'
'-x,y,z'
'-y,-x,-z'
'x,-y,z'
'y,x,-z'
loop_
_atom_site_label
_atom_site_fract_x
_atom_site_fract_y
_atom_site_fract_z
Ca1 0.000 0.000 0.000
Ac1 0.000 0.500 0.738
As1 0.000 0.500 0.379
As2 0.500 0.500 0.000
Rh1 0.000 0.000 0.500
Rh2 0.000 0.500 0.170
Rh3 0.500 0.500 0.500
# **Electronic total energy**: -62.43 eV/f.u.
# **DOS at the Fermi energy**: 3.94 states/eV/cell
# **Crystal system**: tetragonal
# **Energy relative to the elements**: -8.86 eV per formula unit
# **Mass density**: 9.0 g cm⁻³
# **V**: 208 Å³/cell

***

# 3
# CaAcAsS (PBE-GGA, relaxed)
data_CaAcAsS
_space_group_name_H-M_alt 'R 3 m'
_space_group_IT_number 160
_space_group_name_Hall 'R 3 -2"'
_cell_length_a 4.3804
_cell_length_b 4.3804
_cell_length_c 20.8300
_cell_angle_alpha 90.00
_cell_angle_beta 90.00
_cell_angle_gamma 120.00
loop_
_atom_site_label
_atom_site_fract_x
_atom_site_fract_y
_atom_site_fract_z
Ca1 0.0000 0.0000 0.0000
Ac1 0.0000 0.0000 0.4978
As1 0.0000 0.0000 0.7458
S1 0.0000 0.0000 0.2513
# **Electronic total energy**: -21.78 eV/f.u.
# **Uncorrected formation energy**: -6.9 eV per formula unit
# **Crystal system**: trigonal
# **Mass density**: 5.4 g cm⁻³
# **V**: 346 Å³/cell

***

# 4
# CaAcSbAs (PBE-GGA, relaxed)
data_CaAcSbAs
_space_group_name_H-M_alt 'F -4 3 m'
_space_group_IT_number 216
_space_group_name_Hall 'F -4 2 3'
_cell_length_a 7.805
_cell_length_b 7.805
_cell_length_c 7.805
_cell_angle_alpha 90.00
_cell_angle_beta 90.00
_cell_angle_gamma 90.00
loop_
_atom_site_label
_atom_site_fract_x
_atom_site_fract_y
_atom_site_fract_z
Ca1 0.000 0.000 0.000
Ac1 0.000 0.000 0.500
Sb1 0.250 0.250 0.250
As1 0.250 0.250 0.750
# **Electronic total energy**: -18.50 eV/f.u.
# **Uncorrected formation energy**: -3.6 eV per formula unit
# **DOS at the Fermi energy**: 14.49 states/eV/cell
# **Crystal system**: cubic
# **Mass density**: 6.5 g cm⁻³
# **V**: 475 Å³/cell